Entry from the Alexandria database: a geometry-optimized CaAsIr2 structure (PBE). Values from VASP.

Geometry as Quantum ESPRESSO input:
```
&SYSTEM
  ibrav = 0, nat = 4, ntyp = 3
/
ATOMIC_SPECIES
Ir 192.22 Ir.upf
Ca 40.08 Ca.upf
As 74.92 As.upf
ATOMIC_POSITIONS angstrom
Ir -12.764 9.657 -19.819
Ir -6.584 4.982 -10.224
Ca -9.674 7.319 -15.021
As -3.225 2.440 -5.007
CELL_PARAMETERS angstrom
-4.027 4.897 -6.051
-3.123 2.518 -7.792
-5.749 2.344 -6.186
```

Output
- density of states at the Fermi level (states/eV per cell) = 3.36
- VASP energy (eV/atom) = -5.93
- calculated volume (A^3/atom) = 17.7
- DFT formation energy (meV per atom) = 161

***

Entry from the Alexandria database: a geometry-optimized CaAsIr2 structure (PBE). Values from VASP.

Geometry as Quantum ESPRESSO input:
```
&SYSTEM
  ibrav = 0, nat = 4, ntyp = 3
/
ATOMIC_SPECIES
Ir 192.22 Ir.upf
Ca 40.08 Ca.upf
As 74.92 As.upf
ATOMIC_POSITIONS angstrom
Ir -2.643 0.560 1.117
Ir -0.115 -0.162 0.215
Ca -3.867 -1.167 3.416
As -1.057 -1.492 1.986
CELL_PARAMETERS angstrom
-0.438 2.421 1.586
-3.637 0.409 -1.628
-2.405 -3.394 4.517
```

Output
- density of states at the Fermi level (states/eV per cell) = 2.59
- VASP energy (eV/atom) = -6.20
- calculated volume (A^3/atom) = 18.0
- DFT formation energy (meV per atom) = -108

***

Entry from the Alexandria database: a geometry-optimized Ca2AsIr structure (PBE). Values from VASP.

Geometry as Quantum ESPRESSO input:
```
&SYSTEM
  ibrav = 0, nat = 4, ntyp = 3
/
ATOMIC_SPECIES
As 74.92 As.upf
Ca 40.08 Ca.upf
Ir 192.22 Ir.upf
ATOMIC_POSITIONS angstrom
As 1.636 1.992 4.857
Ca 0.000 0.000 0.045
Ca 0.000 0.000 3.193
Ir 1.636 1.992 1.619
CELL_PARAMETERS angstrom
3.272 0.000 0.000
0.000 3.984 0.000
0.000 0.000 6.476
```

Output
- density of states at the Fermi level (states/eV per cell) = 1.21
- VASP energy (eV/atom) = -4.86
- calculated volume (A^3/atom) = 21.1
- DFT formation energy (meV per atom) = -486

***

Entry from the Alexandria database: a geometry-optimized Ca2As2Ir structure (PBE). Values from VASP.

Geometry as Quantum ESPRESSO input:
```
&SYSTEM
  ibrav = 0, nat = 10, ntyp = 3
/
ATOMIC_SPECIES
Ca 40.08 Ca.upf
As 74.92 As.upf
Ir 192.22 Ir.upf
ATOMIC_POSITIONS angstrom
Ca 5.606 2.226 2.255
Ca 2.226 1.154 2.255
Ca 4.534 5.606 2.255
Ca 1.154 4.534 2.255
As 4.350 0.969 0.000
As 2.411 5.791 0.000
As 5.791 4.350 0.000
As 0.969 2.411 0.000
Ir 3.380 3.380 0.000
Ir 0.000 0.000 0.000
CELL_PARAMETERS angstrom
6.760 0.000 0.000
0.000 6.760 0.000
0.000 0.000 4.509
```

Output
- density of states at the Fermi level (states/eV per cell) = 5.36
- VASP energy (eV/atom) = -5.20
- calculated volume (A^3/atom) = 20.6
- DFT formation energy (meV per atom) = -768
- excess energy over the best structure of this formula in the dataset (eV per formula unit) = 0.38

***

Q: Which of these has the lowest density of states at the Fermi level?
A: Ca2AsIr